Entry 1:
Density functional theory data (PBE with a Hubbard U) for crystalline CoCuN2O at its relaxed geometry.

## Properties
energy = -4.9462 eV per atom

Lattice parameters (Å, degrees): 3.590 3.590 3.933 90.00 90.00 90.00
Positions (direct):
Co 0.000 0.000 0.000
O 0.000 0.000 0.500
Cu 0.500 0.500 0.500
N 0.000 0.500 0.000
N 0.500 0.000 0.000



Entry 2:
Density functional theory data (PBE with a Hubbard U) for crystalline CoCuN2O at its relaxed geometry.

## Properties
energy = -4.7090 eV per atom

Lattice parameters (Å, degrees): 3.715 3.715 3.846 90.00 90.00 90.00
Positions (direct):
Co 0.500 0.500 0.500
O 0.000 0.000 0.500
Cu 0.000 0.000 0.000
N 0.000 0.500 0.000
N 0.500 0.000 0.000



energy of number 2 (CoCuN2O)?
-4.7090 eV per atom